[1]
The following is a DFT calculation (PBE) of an optimized crystal structure of TbDyPb.

The space group is P3m1 (No. 156) and the conventional cell measures 5.3195, 5.3195 and 3.7097 Å, with angles of 90.00, 90.00 and 120.00 degrees. The distinct sites, in fractional coordinates, are Tb at (0.0000, 0.0000, 0.0000), Dy at (0.6667, 0.3333, 0.4636) and Pb at (0.3333, 0.6667, 0.7209).

For the size of the total moment, the calculation gives 0.0 Bohr magnetons per cell. The value obtained for the formation energy is -0.199 eV per atom. The energy above the lowest structure with this stoichiometry comes out at 0.2259 eV/atom.


[2]
The following is a DFT calculation (PBE) of an optimized crystal structure of TbDy5Pb5.

The space group is C2/m (No. 12) and the conventional cell measures 15.763, 6.268 and 7.377 Å, with angles of 90.00, 103.18 and 90.00 degrees. The distinct sites, in fractional coordinates, are Tb at (0.000, 0.000, 0.000), Dy at (0.000, 0.000, 0.500), Dy at (0.160, 0.500, 0.335), Dy at (0.165, 0.500, 0.834), Pb at (0.000, 0.500, 0.000), Pb at (0.167, 0.000, 0.340) and Pb at (0.168, 0.000, 0.826).

For the size of the total moment, the calculation gives 0.4 Bohr magnetons per cell. The value obtained for the formation energy is -0.271 eV per atom.


[3]
The following is a DFT calculation (PBE) of an optimized crystal structure of Tb5DyPb5.

The space group is C2/m (No. 12) and the conventional cell measures 15.822, 6.283 and 7.394 Å, with angles of 90.00, 103.33 and 90.00 degrees. The distinct sites, in fractional coordinates, are Tb at (0.000, 0.000, 0.000), Tb at (0.162, 0.500, 0.833), Tb at (0.164, 0.500, 0.332), Dy at (0.000, 0.000, 0.500), Pb at (0.000, 0.500, 0.500), Pb at (0.167, 0.000, 0.839) and Pb at (0.168, 0.000, 0.329).

For the size of the total moment, the calculation gives 0.7 Bohr magnetons per cell. The value obtained for the formation energy is -0.282 eV per atom.


[4]
The following is a DFT calculation (PBE) of an optimized crystal structure of TbDy4Pb5.

The space group is I4 (No. 79) and the conventional cell measures 9.957, 9.957 and 6.296 Å, with angles of 90.00, 90.00 and 90.00 degrees. The distinct sites, in fractional coordinates, are Tb at (0.000, 0.000, 0.000), Dy at (0.100, 0.700, 0.499), Pb at (0.000, 0.000, 0.500) and Pb at (0.100, 0.699, 0.999).

For the size of the total moment, the calculation gives 0.0 Bohr magnetons per cell. The value obtained for the formation energy is -0.333 eV per atom. The energy above the lowest structure with this stoichiometry comes out at 0.1050 eV/atom.


What is the formula in the first record? TbDyPb